# Sr5Cd4Ga

Sr5Cd4Ga after structural relaxation (GGA-PBE, the Alexandria database).

Lattice parameters (Å, degrees): 4.0110 4.0110 20.2592 90.00 90.00 90.00
Positions (direct):
Sr1 0.0000 0.0000 0.0000
Sr2 0.0000 0.0000 0.2040
Sr3 0.0000 0.0000 0.4075
Sr4 0.0000 0.0000 0.5925
Sr5 0.0000 0.0000 0.7960
Cd1 0.5000 0.5000 0.1017
Cd2 0.5000 0.5000 0.3060
Cd3 0.5000 0.5000 0.6940
Cd4 0.5000 0.5000 0.8983
Ga1 0.5000 0.5000 0.5000

Calculated values
V: 325.9 Å³/cell
DFT formation energy: -339 meV/atom
crystal system: tetragonal

***

# BaNaHfNi2

BaNaHfNi2 after structural relaxation (GGA-PBE, the Alexandria database).

Lattice parameters (Å, degrees): 5.0399 5.0399 5.5802 90.00 90.00 90.00
Positions (direct):
Ba1 0.0000 0.0000 0.0000
Na1 0.5000 0.5000 0.5000
Hf1 0.0000 0.0000 0.5000
Ni1 0.0000 0.5000 0.0000
Ni2 0.5000 0.0000 0.0000

Calculated values
V: 141.7 Å³/cell
DFT formation energy: 1779 meV/atom
crystal system: tetragonal

***

no.,total energy (eV for the cell shown),total magnetic moment (μB per cell),density of states at the Fermi level (states/eV/atom)
1,-18.49,0.0,0.70
2,-15.86,0.0,1.34